A geometry-optimized CsSmFeTe3 structure. Source: OQMD, functional GGA-PBE.

Cell: 9.691 9.691 9.941 Å, 101.71 101.71 28.09°
Atoms (fractional coordinates):
Cs  0.152  0.152  0.064
Cs  0.848  0.848  0.936
Sm  0.167  0.167  0.576
Sm  0.833  0.833  0.424
Fe  0.499  0.499  0.726
Fe  0.501  0.501  0.274
Te  0.000  0.000  0.500
Te  0.340  0.340  0.642
Te  0.352  0.352  0.229
Te  0.500  0.500  0.000
Te  0.648  0.648  0.771
Te  0.660  0.660  0.358

space-group type: C2/m
total DFT energy (no corrections): -54.6 eV/cell